[1]
# PBE RbCoSb2Pt, relaxed
data_RbCoSb2Pt
_chemical_formula_sum 'Rb1 Co1 Sb2 Pt1'
_symmetry_space_group_name_H-M 'P 4/m m m'
_symmetry_Int_Tables_number 123
_symmetry_space_group_name_Hall '-P 4 2'
_cell_length_a 4.826
_cell_length_b 4.826
_cell_length_c 5.497
_cell_angle_alpha 90.00
_cell_angle_beta 90.00
_cell_angle_gamma 90.00
loop_
_atom_site_label
_atom_site_type_symbol
_atom_site_fract_x
_atom_site_fract_y
_atom_site_fract_z
_atom_site_occupancy
Rb1 Rb 0.000 0.000 0.000 1
Co1 Co 0.000 0.000 0.500 1
Sb1 Sb 0.000 0.500 0.500 1
Pt1 Pt 0.500 0.500 0.000 1
# DOS(E_F) (states/eV/cell): 2.46
# ΔE_f (raw) (eV/atom): 0.529

[2]
# PBE Rb2CoPtSe4, relaxed
data_Rb2CoPtSe4
_chemical_formula_sum 'Rb16 Co8 Pt8 Se32'
_symmetry_space_group_name_H-M 'F d d d'
_symmetry_Int_Tables_number 70
_cell_length_a 5.661
_cell_length_b 14.161
_cell_length_c 22.830
_cell_angle_alpha 90.00
_cell_angle_beta 90.00
_cell_angle_gamma 90.00
loop_
_symmetry_equiv_pos_as_xyz
'x,y,z'
'-x,-y,-z'
'-x+1/4,-y+1/4,z'
'x+1/4,y+1/4,-z'
'x,-y+1/4,-z+1/4'
'-x,y+1/4,z+1/4'
'-x+1/4,y,-z+1/4'
'x+1/4,-y,z+1/4'
'x,y+1/2,z+1/2'
'-x,-y+1/2,-z+1/2'
'-x+1/4,-y+3/4,z+1/2'
'x+1/4,y+3/4,-z+1/2'
'x,-y+3/4,-z+3/4'
'-x,y+3/4,z+3/4'
'-x+1/4,y+1/2,-z+3/4'
'x+1/4,-y+1/2,z+3/4'
'x+1/2,y,z+1/2'
'-x+1/2,-y,-z+1/2'
'-x+3/4,-y+1/4,z+1/2'
'x+3/4,y+1/4,-z+1/2'
'x+1/2,-y+1/4,-z+3/4'
'-x+1/2,y+1/4,z+3/4'
'-x+3/4,y,-z+3/4'
'x+3/4,-y,z+3/4'
'x+1/2,y+1/2,z'
'-x+1/2,-y+1/2,-z'
'-x+3/4,-y+3/4,z'
'x+3/4,y+3/4,-z'
'x+1/2,-y+3/4,-z+1/4'
'-x+1/2,y+3/4,z+1/4'
'-x+3/4,y+1/2,-z+1/4'
'x+3/4,-y+1/2,z+1/4'
loop_
_atom_site_label
_atom_site_type_symbol
_atom_site_fract_x
_atom_site_fract_y
_atom_site_fract_z
_atom_site_occupancy
Rb1 Rb 0.125 0.125 0.311 1
Co1 Co 0.125 0.125 0.625 1
Pt1 Pt 0.125 0.125 0.125 1
Se1 Se 0.100 0.282 0.813 1
# DOS(E_F) (states/eV/cell): 42.37
# ΔE_f (raw) (eV/atom): -0.553

[3]
# PBE RbVCo2Pt, relaxed
data_RbVCo2Pt
_chemical_formula_sum 'Rb1 V1 Co2 Pt1'
_symmetry_space_group_name_H-M 'P 4/m m m'
_symmetry_Int_Tables_number 123
_symmetry_space_group_name_Hall '-P 4 2'
_cell_length_a 4.323
_cell_length_b 4.323
_cell_length_c 5.238
_cell_angle_alpha 90.00
_cell_angle_beta 90.00
_cell_angle_gamma 90.00
loop_
_atom_site_label
_atom_site_type_symbol
_atom_site_fract_x
_atom_site_fract_y
_atom_site_fract_z
_atom_site_occupancy
Rb1 Rb 0.000 0.000 0.000 1
V1 V 0.000 0.000 0.500 1
Co1 Co 0.000 0.500 0.500 1
Pt1 Pt 0.500 0.500 0.000 1
# DOS(E_F) (states/eV/cell): 6.38
# Energy of formation from the pure elements (eV/atom): 1.63

[4]
# PBE CoRe2Pt, relaxed
data_CoRe2Pt
_chemical_formula_sum 'Co2 Re4 Pt2'
_symmetry_space_group_name_H-M 'I 4/m m m'
_symmetry_Int_Tables_number 139
_symmetry_space_group_name_Hall '-I 4 2'
_cell_length_a 3.752
_cell_length_b 3.752
_cell_length_c 7.931
_cell_angle_alpha 90.00
_cell_angle_beta 90.00
_cell_angle_gamma 90.00
loop_
_atom_site_label
_atom_site_type_symbol
_atom_site_fract_x
_atom_site_fract_y
_atom_site_fract_z
_atom_site_occupancy
Co1 Co 0.000 0.000 0.000 1
Re1 Re 0.000 0.500 0.250 1
Pt1 Pt 0.000 0.000 0.500 1
# DOS(E_F) (states/eV/cell): 7.40
# Energy relative to the lowest polymorph listed for this composition (meV/atom): 29
# Energy of formation from the pure elements (eV/atom): 0.02

[5]
# PBE CoRePt2, relaxed
data_CoRePt2
_chemical_formula_sum 'Co1 Re1 Pt2'
_symmetry_space_group_name_H-M 'P m m m'
_symmetry_Int_Tables_number 47
_cell_length_a 2.723
_cell_length_b 3.925
_cell_length_c 5.352
_cell_angle_alpha 90.00
_cell_angle_beta 90.00
_cell_angle_gamma 90.00
loop_
_symmetry_equiv_pos_as_xyz
'x,y,z'
'-x,-y,-z'
'-x,-y,z'
'x,y,-z'
'x,-y,-z'
'-x,y,z'
'-x,y,-z'
'x,-y,z'
loop_
_atom_site_label
_atom_site_type_symbol
_atom_site_fract_x
_atom_site_fract_y
_atom_site_fract_z
_atom_site_occupancy
Co1 Co 0.000 0.000 0.000 1
Re1 Re 0.000 0.000 0.500 1
Pt1 Pt 0.500 0.500 0.249 1
# DOS(E_F) (states/eV/cell): 5.36
# Energy relative to the lowest polymorph listed for this composition (meV/atom): 58
# Energy of formation from the pure elements (eV/atom): -0.03

[6]
# PBE CoRe2Pt, relaxed
data_CoRe2Pt
_chemical_formula_sum 'Co4 Re8 Pt4'
_symmetry_space_group_name_H-M 'F -4 3 m'
_symmetry_Int_Tables_number 216
_symmetry_space_group_name_Hall 'F -4 2 3'
_cell_length_a 6.125
_cell_length_b 6.125
_cell_length_c 6.125
_cell_angle_alpha 90.00
_cell_angle_beta 90.00
_cell_angle_gamma 90.00
loop_
_atom_site_label
_atom_site_type_symbol
_atom_site_fract_x
_atom_site_fract_y
_atom_site_fract_z
_atom_site_occupancy
Co1 Co 0.000 0.000 0.000 1
Re1 Re 0.000 0.000 0.500 1
Re2 Re 0.250 0.250 0.750 1
Pt1 Pt 0.250 0.250 0.250 1
# DOS(E_F) (states/eV/cell): 14.31
# Energy relative to the lowest polymorph listed for this composition (meV/atom): 256
# Energy of formation from the pure elements (eV/atom): 0.25

[7]
# PBE CoRePt, relaxed
data_CoRePt
_chemical_formula_sum 'Co4 Re4 Pt4'
_symmetry_space_group_name_H-M 'C 1 2/c 1'
_symmetry_Int_Tables_number 15
_cell_length_a 4.580
_cell_length_b 8.187
_cell_length_c 4.650
_cell_angle_alpha 90.00
_cell_angle_beta 108.83
_cell_angle_gamma 90.00
loop_
_symmetry_equiv_pos_as_xyz
'x,y,z'
'-x,-y,-z'
'-x,y,-z+1/2'
'x,-y,z+1/2'
'x+1/2,y+1/2,z'
'-x+1/2,-y+1/2,-z'
'-x+1/2,y+1/2,-z+1/2'
'x+1/2,-y+1/2,z+1/2'
loop_
_atom_site_label
_atom_site_type_symbol
_atom_site_fract_x
_atom_site_fract_y
_atom_site_fract_z
_atom_site_occupancy
Co1 Co 0.000 0.077 0.250 1
Re1 Re 0.000 0.427 0.250 1
Pt1 Pt 0.000 0.244 0.750 1
# DOS(E_F) (states/eV/cell): 14.55
# Energy relative to the lowest polymorph listed for this composition (meV/atom): 64
# Energy of formation from the pure elements (eV/atom): -0.02

[8]
# PBE CoRe2Pt, relaxed
data_CoRe2Pt
_chemical_formula_sum 'Co1 Re2 Pt1'
_symmetry_space_group_name_H-M 'P 4/m m m'
_symmetry_Int_Tables_number 123
_symmetry_space_group_name_Hall '-P 4 2'
_cell_length_a 3.750
_cell_length_b 3.750
_cell_length_c 3.973
_cell_angle_alpha 90.00
_cell_angle_beta 90.00
_cell_angle_gamma 90.00
loop_
_atom_site_label
_atom_site_type_symbol
_atom_site_fract_x
_atom_site_fract_y
_atom_site_fract_z
_atom_site_occupancy
Co1 Co 0.000 0.000 0.000 1
Re1 Re 0.000 0.500 0.500 1
Pt1 Pt 0.500 0.500 0.000 1
# DOS(E_F) (states/eV/cell): 3.76
# Energy relative to the lowest polymorph listed for this composition (meV/atom): 27
# Energy of formation from the pure elements (eV/atom): 0.02

Q: What is the DOS(E_F) in the eighth record?
A: 3.76 states/eV/cell